Entry 1:
The following is a PBE-GGA calculation of Cu2RhN after structural relaxation, from the Alexandria database.

abc: 6.3856 6.3856 6.3856
angles: 138.22 138.22 60.57
Last column: nearest neighbours and their distance in Å.
Sites, in units of the cell vectors:
Cu 0.3750 0.1853 0.3103  2 N 1.81
Cu 0.8147 0.1250 0.1897  2 N 1.81
Cu 0.8750 0.0647 0.6897  2 N 1.81
Cu 0.9353 0.6250 0.8103  2 N 1.81
Rh 0.2500 0.7500 0.5000  4 Cu 2.68
Rh 0.5000 0.5000 0.0000  4 Cu 2.68
N 0.0000 0.0000 0.0000  4 Cu 1.81
N 0.7500 0.2500 0.5000  4 Cu 1.81

Output
As for the formation energy without anion corrections: 0.90 eV per atom. The calculation puts the energy at -40.54 eV per cell.

=====

Entry 2:
The following is a PBE-GGA calculation of CuRhSe2N after structural relaxation, from the Alexandria database.

abc: 4.8818 4.8818 3.4656
angles: 90.00 90.00 90.00
Last column: nearest neighbours and their distance in Å.
Sites, in units of the cell vectors:
Cu 0.0000 0.0000 0.0000  2 N 1.73
Rh 0.5000 0.5000 0.5000  8 Se 2.99
Se 0.0000 0.5000 0.0000  2 Cu 2.44
Se 0.5000 0.0000 0.0000  2 Cu 2.44
N 0.0000 0.0000 0.5000  2 Cu 1.73

Output
As for the formation energy without anion corrections: 0.99 eV per atom. The calculation puts the energy at -21.82 eV per cell.

=====

Question: Which formula does entry 1 have?
Answer: Cu2RhN

=====

Question: What is the energy in the first record?
Answer: -40.54 eV per cell

=====

What did the first record say?
The following is a PBE-GGA calculation of Cu2RhN after structural relaxation, from the Alexandria database.

abc: 6.3856 6.3856 6.3856
angles: 138.22 138.22 60.57
Last column: nearest neighbours and their distance in Å.
Sites, in units of the cell vectors:
Cu 0.3750 0.1853 0.3103  2 N 1.81
Cu 0.8147 0.1250 0.1897  2 N 1.81
Cu 0.8750 0.0647 0.6897  2 N 1.81
Cu 0.9353 0.6250 0.8103  2 N 1.81
Rh 0.2500 0.7500 0.5000  4 Cu 2.68
Rh 0.5000 0.5000 0.0000  4 Cu 2.68
N 0.0000 0.0000 0.0000  4 Cu 1.81
N 0.7500 0.2500 0.5000  4 Cu 1.81

Output
As for the formation energy without anion corrections: 0.90 eV per atom. The calculation puts the energy at -40.54 eV per cell.

=====

Question: Which value of energy does entry 1 give?
Answer: -40.54 eV per cell